Entry 1:
## TlSiHg2 (GGA-PBE)

Data for an optimized crystal structure of TlSiHg2.

a b c (Å): 3.441 4.204 7.293
angles (deg): 90.00 90.00 90.00
Sites, in units of the cell vectors:
Hg (0.500, 0.500, 0.330)
Hg (0.000, 0.000, 0.016)
Tl (0.500, 0.500, 0.759)
Si (0.000, 0.000, 0.396)

Properties
The space-group type is Pmm2, No. 25. Its spin magnetization is 0.00 Bohr magnetons per cell. For the uncorrected formation energy, the calculation gives 341 meV per atom.

=====

Entry 2:
## Ta3HgSb (GGA-PBE)

Data for an optimized crystal structure of Ta3HgSb.

a b c (Å): 5.024 5.024 5.024
angles (deg): 90.00 90.00 90.00
Sites, in units of the cell vectors:
Ta (0.000, 0.000, 0.500)
Ta (0.000, 0.500, 0.000)
Ta (0.500, 0.000, 0.000)
Sb (0.000, 0.000, 0.000)
Hg (0.500, 0.500, 0.500)

Properties
The space-group type is Pm-3m, No. 221. As for the offset from the most stable computed form: 0.0 kJ/mol of formula units. Its spin magnetization is 0.00 Bohr magnetons per cell. For the uncorrected formation energy, the calculation gives 1817 meV per atom.

=====

Entry 3:
## Pr3CuSnS7 (GGA-PBE)

Data for an optimized crystal structure of Pr3CuSnS7.

a b c (Å): 10.221 10.221 6.178
angles (deg): 90.00 90.00 120.00
Sites, in units of the cell vectors:
Sn (0.333, 0.667, 0.339)
Sn (0.667, 0.333, 0.839)
Pr (0.357, 0.137, 0.266)
Pr (0.137, 0.780, 0.766)
Pr (0.863, 0.220, 0.266)
Pr (0.220, 0.357, 0.766)
Pr (0.643, 0.863, 0.766)
Pr (0.780, 0.643, 0.266)
S (0.089, 0.516, 0.510)
S (0.747, 0.900, 0.220)
S (0.847, 0.747, 0.720)
S (0.900, 0.153, 0.720)
S (0.667, 0.333, 0.453)
S (0.333, 0.667, 0.953)
S (0.427, 0.911, 0.510)
S (0.516, 0.427, 0.010)
S (0.253, 0.100, 0.720)
S (0.484, 0.573, 0.510)
S (0.100, 0.847, 0.220)
S (0.153, 0.253, 0.220)
S (0.911, 0.484, 0.010)
S (0.573, 0.089, 0.010)
Cu (0.000, 0.000, 0.704)
Cu (0.000, 0.000, 0.204)

Properties
The space-group type is P6_3, No. 173. Its spin magnetization is 0.00 Bohr magnetons per cell. For the uncorrected formation energy, the calculation gives -1447 meV per atom.

=====

Entry 4:
## CdTc2AgO8 (GGA-PBE)

Data for an optimized crystal structure of CdTc2AgO8.

a b c (Å): 6.236 6.236 6.236
angles (deg): 107.94 107.94 112.58
Each line ends with the local moment (μB).
Sites, in units of the cell vectors:
Tc (0.750, 0.250, 0.500)  0.23
Tc (0.500, 0.500, 0.000)  0.39
O (0.452, 0.649, 0.804)  0.03
O (0.351, 0.155, 0.804)  0.03
O (0.351, 0.548, 0.196)  0.03
O (0.906, 0.215, 0.310)  0.01
O (0.906, 0.596, 0.690)  0.01
O (0.845, 0.649, 0.196)  0.03
O (0.785, 0.094, 0.690)  0.01
O (0.404, 0.094, 0.310)  0.01
Cd (0.250, 0.750, 0.500)  0.06
Ag (0.000, 0.000, 0.000)  0.01

Properties
The space-group type is I-4m2, No. 119. Its spin magnetization is 0.99 Bohr magnetons per cell. For the uncorrected formation energy, the calculation gives -1095 meV per atom.

=====

Entry 5:
## CrTe3S8 (GGA-PBE)

Data for an optimized crystal structure of CrTe3S8.

a b c (Å): 7.438 7.438 7.845
angles (deg): 118.55 90.00 120.00
Each line ends with the local moment (μB).
Sites, in units of the cell vectors:
Cr (0.000, 0.000, 0.000)  2.35
S (0.252, 0.504, 0.757)  -0.04
S (0.224, 0.447, 0.215)  -0.06
S (0.230, 0.007, 0.785)  -0.06
S (0.770, 0.993, 0.215)  -0.06
S (0.776, 0.007, 0.785)  -0.06
S (0.776, 0.553, 0.785)  -0.06
S (0.748, 0.496, 0.243)  -0.04
S (0.224, 0.993, 0.215)  -0.06
Te (0.000, 0.500, 0.000)  0.01
Te (0.500, 0.000, 0.000)  0.01
Te (0.500, 0.500, 0.000)  0.01

Properties
The space-group type is C2/m, No. 12. Its spin magnetization is 1.97 Bohr magnetons per cell. For the uncorrected formation energy, the calculation gives -64 meV per atom.

=====

Entry 6:
## Pa2HgPb (GGA-PBE)

Data for an optimized crystal structure of Pa2HgPb.

a b c (Å): 4.122 4.122 6.219
angles (deg): 90.00 90.00 90.00
Each line ends with the local moment (μB).
Sites, in units of the cell vectors:
Pa (0.000, 0.000, 0.739)  0.84
Pa (0.000, 0.000, 0.261)  0.84
Hg (0.500, 0.500, 0.500)  0.02
Pb (0.500, 0.500, 0.000)  -0.01

Properties
The space-group type is P4/mmm, No. 123. The calculated formation energy comes out at 0.6 eV per formula unit. As for the offset from the most stable computed form: 16.2 kJ/mol of formula units. Its spin magnetization is 1.94 Bohr magnetons per cell.

=====

Entry 7:
## Cd3InSe4 (GGA-PBE)

Data for an optimized crystal structure of Cd3InSe4.

a b c (Å): 6.286 6.286 6.286
angles (deg): 90.00 90.00 90.00
Sites, in units of the cell vectors:
Cd (0.500, 0.000, 0.500)
Cd (0.000, 0.500, 0.500)
Cd (0.500, 0.500, 0.000)
Se (0.254, 0.254, 0.254)
Se (0.746, 0.746, 0.254)
Se (0.746, 0.254, 0.746)
Se (0.254, 0.746, 0.746)
In (0.000, 0.000, 0.000)

Properties
The space-group type is P-43m, No. 215. Its spin magnetization is 0.00 Bohr magnetons per cell. For the uncorrected formation energy, the calculation gives -535 meV per atom.

=====

Entry 8:
## ZrTa2As (GGA-PBE)

Data for an optimized crystal structure of ZrTa2As.

a b c (Å): 4.703 4.703 4.703
angles (deg): 60.00 60.00 60.00
Sites, in units of the cell vectors:
As (0.500, 0.500, 0.500)
Zr (0.750, 0.750, 0.750)
Ta (0.000, 0.000, 0.000)
Ta (0.250, 0.250, 0.250)

Properties
The space-group type is F-43m, No. 216. The calculated formation energy comes out at 0.1 eV per formula unit. Its spin magnetization is 0.00 Bohr magnetons per cell.

=====

The calculation returns the following DFT total energy values, one per record and in order: -1.758 -6.179 -5.724 -6.442 -4.403 -5.597 -2.963 -9.192 eV per atom.